## Np2U4Ge3 (PBE-GGA)

Data for a relaxed Np2U4Ge3 crystal. Values from VASP.

```
&SYSTEM
  ibrav = 0, nat = 18, ntyp = 3
/
ATOMIC_SPECIES
Np 237.00 Np.upf
U 238.03 U.upf
Ge 72.64 Ge.upf
ATOMIC_POSITIONS angstrom
Np 2.517 1.160 0.258
Np 2.320 -1.160 3.245
Np 9.386 1.160 2.729
Np 9.190 -1.160 5.717
U 1.373 1.234 3.903
U 4.500 1.708 5.659
U 1.569 -1.234 0.916
U 7.011 1.708 3.302
U 4.696 -1.708 2.672
U 10.137 1.234 5.058
U 7.207 -1.708 0.315
U 10.333 -1.234 2.071
Ge 5.755 4.093 4.481
Ge 4.147 1.161 2.685
Ge 3.951 -1.161 5.672
Ge 7.756 1.161 0.302
Ge 7.560 -1.161 3.289
Ge 5.951 -4.093 1.494
CELL_PARAMETERS angstrom
6.049 -5.243 0.000
6.049 5.243 0.000
-0.392 0.000 5.974
```

**Space-group type**: No. 15
**Crystal system**: monoclinic
**Total DFT energy (no corrections)**: -9.56 eV per atom
**ΔE_f**: -0.13 eV per atom



## Np5U2Ge4 (PBE-GGA)

Data for a relaxed Np5U2Ge4 crystal. Values from VASP.

```
&SYSTEM
  ibrav = 0, nat = 11, ntyp = 3
/
ATOMIC_SPECIES
Np 237.00 Np.upf
U 238.03 U.upf
Ge 72.64 Ge.upf
ATOMIC_POSITIONS angstrom
Np 0.000 0.000 0.000
Np 1.487 0.000 5.655
Np 2.407 0.000 0.503
Np 5.907 0.000 8.777
Np 6.827 0.000 3.625
U 3.196 0.000 3.826
U 5.117 0.000 5.454
Ge 0.699 1.399 2.737
Ge 3.447 1.399 7.542
Ge 4.867 1.399 1.738
Ge 7.614 1.399 6.543
CELL_PARAMETERS angstrom
8.704 0.000 0.000
0.000 2.797 0.000
-0.390 0.000 9.280
```

**Space-group type**: No. 10
**Crystal system**: monoclinic
**Total DFT energy (no corrections)**: -9.60 eV per atom
**ΔE_f**: 0.02 eV per atom



Copy entry 2 word for word.
## Np5U2Ge4 (PBE-GGA)

Data for a relaxed Np5U2Ge4 crystal. Values from VASP.

```
&SYSTEM
  ibrav = 0, nat = 11, ntyp = 3
/
ATOMIC_SPECIES
Np 237.00 Np.upf
U 238.03 U.upf
Ge 72.64 Ge.upf
ATOMIC_POSITIONS angstrom
Np 0.000 0.000 0.000
Np 1.487 0.000 5.655
Np 2.407 0.000 0.503
Np 5.907 0.000 8.777
Np 6.827 0.000 3.625
U 3.196 0.000 3.826
U 5.117 0.000 5.454
Ge 0.699 1.399 2.737
Ge 3.447 1.399 7.542
Ge 4.867 1.399 1.738
Ge 7.614 1.399 6.543
CELL_PARAMETERS angstrom
8.704 0.000 0.000
0.000 2.797 0.000
-0.390 0.000 9.280
```

**Space-group type**: No. 10
**Crystal system**: monoclinic
**Total DFT energy (no corrections)**: -9.60 eV per atom
**ΔE_f**: 0.02 eV per atom



Which formula does entry 2 have?
Np5U2Ge4



total DFT energy (no corrections) of number 1 (Np2U4Ge3)?
-9.56 eV per atom